4
Lattice="4.765 0.000 0.000 0.000 4.765 0.000 0.000 0.000 3.878" Properties=species:S:1:pos:R:3 comment="CdFeSb2 PBE-GGA relaxed" e_form_raw_ev_per_atom=0.46 final_energy_ev_per_cell=-15.77 dos_ef_per_ev_cell=4.26 pbc="T T T"
Cd 0.000 0.000 0.000
Fe 2.383 2.383 0.000
Sb 0.000 2.383 1.939
Sb 2.383 0.000 1.939



4
Lattice="-1.593 2.078 6.780 1.593 -2.078 6.780 1.593 2.078 -6.780" Properties=species:S:1:pos:R:3 comment="CdFeSb2 PBE-GGA relaxed" e_form_raw_ev_per_atom=0.22 final_energy_ev_per_cell=-16.76 dos_ef_per_ev_cell=2.98 pbc="T T T"
Cd 0.000 0.000 0.000
Fe 1.593 0.000 2.844
Sb 0.000 0.000 4.925
Sb 0.000 2.078 2.249



4
Lattice="-2.326 2.326 4.067 2.326 -2.326 4.067 2.326 2.326 -4.067" Properties=species:S:1:pos:R:3 comment="CdFeSb2 PBE-GGA relaxed" e_form_raw_ev_per_atom=0.45 final_energy_ev_per_cell=-15.82 dos_ef_per_ev_cell=5.73 pbc="T T T"
Cd 0.000 0.000 0.000
Fe 0.000 0.000 4.067
Sb 2.326 0.000 2.033
Sb 0.000 2.326 2.033



5
Lattice="4.955 0.000 0.000 0.000 4.955 0.000 0.000 0.000 5.776" Properties=species:S:1:pos:R:3 comment="SrCdFeSb2 PBE-GGA relaxed" e_form_raw_ev_per_atom=0.03 final_energy_ev_per_cell=-19.16 dos_ef_per_ev_cell=4.45 pbc="T T T"
Sr 0.000 0.000 0.000
Cd 2.478 2.478 0.000
Fe 0.000 0.000 2.888
Sb 0.000 2.478 2.888
Sb 2.478 0.000 2.888



5
Lattice="4.508 0.000 0.000 0.000 4.508 0.000 0.000 0.000 5.384" Properties=species:S:1:pos:R:3 comment="TaCdFe2Sb PBE-GGA relaxed" e_form_raw_ev_per_atom=1.44 final_energy_ev_per_cell=-26.60 dos_ef_per_ev_cell=7.42 pbc="T T T"
Ta 0.000 0.000 0.000
Cd 0.000 0.000 2.692
Fe 0.000 2.254 0.000
Fe 2.254 0.000 0.000
Sb 2.254 2.254 2.692



5
Lattice="5.418 0.000 0.000 0.000 5.418 0.000 0.000 0.000 5.575" Properties=species:S:1:pos:R:3 comment="CdFeSb2Te PBE-GGA relaxed" e_above_lowest_polymorph_mev_per_atom=1203 e_form_raw_ev_per_atom=1.54 final_energy_ev_per_cell=-13.09 dos_ef_per_ev_cell=9.02 pbc="T T T"
Cd 0.000 0.000 0.000
Fe 2.709 2.709 2.788
Sb 0.000 2.709 0.000
Sb 2.709 0.000 0.000
Te 0.000 0.000 2.788



5
Lattice="4.775 0.000 0.000 0.000 4.775 0.000 0.000 0.000 5.794" Properties=species:S:1:pos:R:3 comment="CdFeSb2Te PBE-GGA relaxed" e_above_lowest_polymorph_mev_per_atom=0 e_form_raw_ev_per_atom=0.33 final_energy_ev_per_cell=-19.10 dos_ef_per_ev_cell=2.61 pbc="T T T"
Cd 0.000 0.000 0.000
Fe 2.387 2.387 2.897
Sb 0.000 2.387 2.897
Sb 2.387 0.000 2.897
Te 2.387 2.387 0.000



3
Lattice="3.089 0.000 0.000 -1.544 2.675 0.000 0.000 0.000 6.826" Properties=species:S:1:pos:R:3 comment="ScCdFe PBE-GGA relaxed" e_above_lowest_polymorph_mev_per_atom=186 delta_e_f_ev_per_atom=0.201 final_energy_ev_per_cell=-15.11 dos_ef_per_ev_cell=3.38 pbc="T T T"
Sc 0.000 0.000 0.000
Cd 1.544 0.892 2.614
Fe 0.000 1.783 4.818



3
Lattice="4.632 0.000 0.000 -2.316 4.011 0.000 0.000 0.000 2.987" Properties=species:S:1:pos:R:3 comment="ScCdFe PBE-GGA relaxed" e_above_lowest_polymorph_mev_per_atom=128 delta_e_f_ev_per_atom=0.143 final_energy_ev_per_cell=-15.28 dos_ef_per_ev_cell=5.56 pbc="T T T"
Sc 0.000 0.000 0.000
Cd 2.316 1.337 1.493
Fe 0.000 2.674 1.493



5
Lattice="5.458 0.000 0.000 0.000 5.458 0.000 0.000 0.000 5.458" Properties=species:S:1:pos:R:3 comment="ScCd3Fe PBE-GGA relaxed" e_above_lowest_polymorph_mev_per_atom=703 delta_e_f_ev_per_atom=1.243 final_energy_ev_per_cell=-11.32 dos_ef_per_ev_cell=8.07 pbc="T T T"
Sc 0.000 0.000 0.000
Cd 0.000 0.000 2.729
Cd 0.000 2.729 0.000
Cd 2.729 0.000 0.000
Fe 2.729 2.729 2.729



7
Lattice="4.635 0.000 0.000 0.000 4.635 0.000 0.000 0.000 7.403" Properties=species:S:1:pos:R:3 comment="Sc5CdFe PBE-GGA relaxed" e_above_lowest_polymorph_mev_per_atom=141 delta_e_f_ev_per_atom=0.124 final_energy_ev_per_cell=-40.17 dos_ef_per_ev_cell=9.70 pbc="T T T"
Sc 0.000 0.000 0.000
Sc 0.000 2.318 1.753
Sc 0.000 2.318 5.649
Sc 2.318 0.000 1.753
Sc 2.318 0.000 5.649
Cd 0.000 0.000 3.701
Fe 2.318 2.318 0.000



3
Lattice="0.000 3.230 3.230 3.230 0.000 3.230 3.230 3.230 0.000" Properties=species:S:1:pos:R:3 comment="ScCdFe PBE-GGA relaxed" e_above_lowest_polymorph_mev_per_atom=735 delta_e_f_ev_per_atom=0.750 final_energy_ev_per_cell=-13.46 dos_ef_per_ev_cell=8.62 pbc="T T T"
Sc 0.000 0.000 0.000
Cd 1.615 1.615 1.615
Fe 4.844 4.844 4.844



4
Lattice="0.000 3.338 3.338 3.338 0.000 3.338 3.338 3.338 0.000" Properties=species:S:1:pos:R:3 comment="Sc2CdFe PBE-GGA relaxed" delta_e_f_ev_per_atom=0.088 final_energy_ev_per_cell=-21.69 dos_ef_per_ev_cell=5.53 pbc="T T T"
Sc 0.000 0.000 0.000
Sc 1.669 1.669 1.669
Cd 3.338 3.338 3.338
Fe 5.006 5.006 5.006



9
Lattice="3.481 0.000 0.000 0.000 6.987 4.061 0.000 -6.987 4.061" Properties=species:S:1:pos:R:3 comment="Sc6Cd2Fe PBE-GGA relaxed" delta_e_f_ev_per_atom=-0.147 final_energy_ev_per_cell=-49.60 dos_ef_per_ev_cell=15.07 pbc="T T T"
Sc 0.000 0.000 0.000
Sc 0.000 -1.630 5.198
Sc 0.000 1.630 5.198
Sc 1.740 -4.317 3.662
Sc 1.740 0.000 3.002
Sc 1.740 4.317 3.662
Cd 0.000 -2.346 2.110
Cd 0.000 2.346 2.110
Fe 1.740 0.000 6.238



4
Lattice="-1.590 2.346 5.119 1.590 -2.346 5.119 1.590 2.346 -5.119" Properties=species:S:1:pos:R:3 comment="Sc2CdFe PBE-GGA relaxed" delta_e_f_ev_per_atom=0.005 final_energy_ev_per_cell=-22.02 dos_ef_per_ev_cell=3.74 pbc="T T T"
Sc 0.000 0.000 0.000
Sc 0.000 2.346 2.011
Cd 1.590 0.000 2.932
Fe 0.000 0.000 5.110



4
Lattice="3.389 -3.400 0.000 3.389 3.400 0.000 0.000 0.000 3.345" Properties=species:S:1:pos:R:3 comment="Sc2CdFe PBE-GGA relaxed" delta_e_f_ev_per_atom=-0.053 final_energy_ev_per_cell=-22.25 dos_ef_per_ev_cell=5.50 pbc="T T T"
Sc 1.694 1.700 0.000
Sc 1.694 -1.700 0.000
Cd 0.000 0.000 1.673
Fe 3.389 0.000 1.673



4
Lattice="1.614 0.932 8.816 -1.614 0.932 8.816 0.000 -1.864 8.816" Properties=species:S:1:pos:R:3 comment="Sc2CdFe PBE-GGA relaxed" delta_e_f_ev_per_atom=0.013 final_energy_ev_per_cell=-21.99 dos_ef_per_ev_cell=4.31 pbc="T T T"
Sc 0.000 0.000 6.222
Sc 0.000 0.000 20.227
Cd 0.000 0.000 0.000
Fe 0.000 0.000 13.225



4
Lattice="3.331 0.000 0.000 0.000 3.331 0.000 0.000 0.000 7.151" Properties=species:S:1:pos:R:3 comment="Sc2CdFe PBE-GGA relaxed" delta_e_f_ev_per_atom=0.059 final_energy_ev_per_cell=-21.80 dos_ef_per_ev_cell=5.72 pbc="T T T"
Sc 0.000 0.000 0.000
Sc 1.666 1.666 2.229
Cd 0.000 0.000 4.155
Fe 1.666 1.666 5.734



8
Lattice="-3.721 3.721 2.868 3.721 -3.721 2.868 3.721 3.721 -2.868" Properties=species:S:1:pos:R:3 comment="Sc2CdFe PBE-GGA relaxed" delta_e_f_ev_per_atom=0.206 final_energy_ev_per_cell=-42.43 dos_ef_per_ev_cell=0.27 pbc="T T T"
Sc 1.861 1.373 -0.717
Sc 2.349 -1.861 3.585
Sc 1.861 2.349 2.151
Sc 1.373 5.582 0.717
Cd 3.721 0.000 1.434
Cd 0.000 0.000 2.868
Fe 0.000 0.000 0.000
Fe 0.000 3.721 1.434



4
Lattice="1.568 0.905 9.522 -1.568 0.905 9.522 0.000 -1.810 9.522" Properties=species:S:1:pos:R:3 comment="Sc2CdFe PBE-GGA relaxed" delta_e_f_ev_per_atom=0.195 final_energy_ev_per_cell=-21.26 dos_ef_per_ev_cell=4.53 pbc="T T T"
Sc 0.000 0.000 0.000
Sc 0.000 0.000 6.812
Cd 0.000 0.000 21.618
Fe 0.000 0.000 14.271



14
Lattice="4.175 -3.417 0.000 4.175 3.417 0.000 -3.109 0.000 10.616" Properties=species:S:1:pos:R:3 comment="Sc5CdFe PBE-GGA relaxed" e_above_lowest_polymorph_mev_per_atom=0 delta_e_f_ev_per_atom=-0.017 final_energy_ev_per_cell=-82.31 dos_ef_per_ev_cell=16.06 pbc="T T T"
Sc 1.843 3.230 7.962
Sc 0.090 1.110 6.576
Sc 0.201 1.159 9.896
Sc 1.645 -1.110 1.268
Sc 3.486 1.159 6.029
Sc 1.755 -1.159 4.588
Sc 3.596 1.110 9.348
Sc 5.040 -1.159 0.720
Sc 5.151 -1.110 4.040
Sc 3.398 -3.230 2.654
Cd 3.398 0.739 2.654
Cd 1.843 -0.739 7.962
Fe 0.000 0.000 0.000
Fe -1.554 0.000 5.308



3
Lattice="0.000 3.145 3.145 3.145 0.000 3.145 3.145 3.145 0.000" Properties=species:S:1:pos:R:3 comment="ScCdFe PBE-GGA relaxed" e_above_lowest_polymorph_mev_per_atom=341 delta_e_f_ev_per_atom=0.356 final_energy_ev_per_cell=-14.64 dos_ef_per_ev_cell=7.25 pbc="T T T"
Sc 0.000 0.000 0.000
Cd 3.145 3.145 3.145
Fe 1.572 1.572 1.572



4
Lattice="-2.081 2.081 4.421 2.081 -2.081 4.421 2.081 2.081 -4.421" Properties=species:S:1:pos:R:3 comment="Sc2CdFe PBE-GGA relaxed" delta_e_f_ev_per_atom=0.024 final_energy_ev_per_cell=-21.94 dos_ef_per_ev_cell=3.19 pbc="T T T"
Sc 0.000 0.000 0.000
Sc 0.000 2.081 2.210
Cd 2.081 0.000 2.210
Fe 0.000 0.000 4.421



5
Lattice="4.886 0.000 0.000 0.000 4.886 0.000 0.000 0.000 4.886" Properties=species:S:1:pos:R:3 comment="ScCd3Fe PBE-GGA relaxed" e_above_lowest_polymorph_mev_per_atom=0 delta_e_f_ev_per_atom=0.540 final_energy_ev_per_cell=-14.84 dos_ef_per_ev_cell=9.57 pbc="T T T"
Sc 0.000 0.000 0.000
Cd 0.000 2.443 2.443
Cd 2.443 0.000 2.443
Cd 2.443 2.443 0.000
Fe 2.443 2.443 2.443



4
Lattice="3.164 0.000 0.000 0.000 3.185 0.000 -0.011 0.000 7.403" Properties=species:S:1:pos:R:3 comment="Sc2CdFe PBE-GGA relaxed" delta_e_f_ev_per_atom=-0.240 final_energy_ev_per_cell=-23.00 dos_ef_per_ev_cell=2.41 pbc="T T T"
Sc 3.161 0.000 1.491
Sc -0.009 0.000 5.912
Cd 1.576 1.592 3.701
Fe 1.582 1.592 0.000



3
Lattice="-1.582 1.739 4.928 1.582 -1.739 4.928 1.582 1.739 -4.928" Properties=species:S:1:pos:R:3 comment="ScCdFe PBE-GGA relaxed" e_above_lowest_polymorph_mev_per_atom=0 delta_e_f_ev_per_atom=0.015 final_energy_ev_per_cell=-15.66 dos_ef_per_ev_cell=3.32 pbc="T T T"
Sc 0.000 0.000 0.000
Cd 0.000 0.000 6.869
Fe 0.000 0.000 3.491



11
Lattice="4.004 -7.259 0.000 4.004 7.259 0.000 -3.010 0.000 3.883" Properties=species:S:1:pos:R:3 comment="Sc8CdFe2 PBE-GGA relaxed" delta_e_f_ev_per_atom=-0.099 final_energy_ev_per_cell=-69.58 dos_ef_per_ev_cell=9.39 pbc="T T T"
Sc 0.000 0.000 0.000
Sc 2.059 4.806 1.602
Sc 0.386 3.062 3.415
Sc -0.185 0.000 2.962
Sc 2.699 1.643 2.099
Sc 0.386 -3.062 3.415
Sc 2.699 -1.643 2.099
Sc 2.059 -4.806 1.602
Cd 5.003 0.000 0.777
Fe 0.899 2.456 0.709
Fe 0.899 -2.456 0.709



6
Lattice="0.000 3.953 3.953 3.953 0.000 3.953 3.953 3.953 0.000" Properties=species:S:1:pos:R:3 comment="ScCd4Fe PBE-GGA relaxed" delta_e_f_ev_per_atom=0.220 final_energy_ev_per_cell=-17.13 dos_ef_per_ev_cell=5.26 pbc="T T T"
Sc 0.000 0.000 0.000
Cd 4.938 2.967 2.967
Cd 2.967 4.938 2.967
Cd 2.967 2.967 4.938
Cd 4.938 4.938 4.938
Fe 1.976 1.976 1.976



4
Lattice="-1.708 1.841 6.556 1.708 -1.841 6.556 1.708 1.841 -6.556" Properties=species:S:1:pos:R:3 comment="CdFeSe2 PBE-GGA relaxed" e_form_raw_ev_per_atom=-0.04 final_energy_ev_per_cell=-16.50 dos_ef_per_ev_cell=3.55 pbc="T T T"
Cd 0.000 0.000 0.000
Fe 0.000 1.841 3.328
Se 1.708 0.000 4.342
Se 0.000 0.000 7.991